1.
AcY2Hg: optimized geometry, GGA-PBE.

```
AcY2Hg
1.0
1.897 1.095 10.725
-1.897 1.095 10.725
0.000 -2.190 10.725
Ac Y Hg
1 2 1
Cartesian
0.000 0.000 0.000
0.000 0.000 7.641
0.000 0.000 13.833
0.000 0.000 26.834
```

Calculated values
The value obtained for the formation energy is -0.14 eV/atom. The distance to the lowest polymorph of the same formula is 85.4 meV/atom.

2.
AcY3Hg4: optimized geometry, GGA-PBE.

```
AcY3Hg4
1.0
10.709 0.000 0.000
0.000 7.744 0.000
0.000 0.000 5.356
Ac Y Hg
2 6 8
Cartesian
0.000 0.000 0.000
5.354 0.000 0.000
0.000 3.872 0.000
2.677 0.000 2.673
2.677 3.872 2.672
5.354 3.872 0.000
8.031 0.000 2.682
8.031 3.872 2.684
0.000 2.099 2.678
0.000 5.645 2.678
2.677 2.099 5.348
2.677 5.645 5.348
5.354 2.099 2.678
5.354 5.645 2.678
8.031 2.099 0.007
8.031 5.645 0.007
```

Calculated values
The value obtained for the formation energy is -0.47 eV/atom.

3.
Ac5YHg6: optimized geometry, GGA-PBE.

```
Ac5YHg6
1.0
8.935 -3.998 0.000
8.935 3.998 0.000
-1.763 0.000 5.349
Ac Y Hg
5 1 6
Cartesian
0.000 0.000 0.000
1.756 0.000 3.550
5.286 0.000 1.755
10.822 0.000 3.594
14.352 0.000 1.799
8.935 0.000 0.000
4.623 1.887 4.501
8.054 1.788 2.675
11.485 1.887 0.848
4.623 -1.887 4.501
8.054 -1.788 2.675
11.485 -1.887 0.848
```

Calculated values
The value obtained for the formation energy is -0.46 eV/atom.

Number 1: energy -4.4702 eV per atom. Number 2: energy -3.5553 eV per atom. Number 3: energy -2.8633 eV per atom.